Li2AgBrO: relaxed, PBE.

Output
- magnetization (μB/f.u.) = 0.0
- total energy (eV/atom) = -3.7673
- N(E_F) (states/eV/atom) = 0.03
- uncorrected formation energy (eV/f.u.) = -5.53

Cell: 4.1459 4.1459 4.5641 Å, 90.00 90.00 90.00°
Sites, in units of the cell vectors:
1 Li 0.0000 0.5000 0.0000
2 Li 0.5000 0.0000 0.0000
3 Ag 0.0000 0.0000 0.5000
4 Br 0.5000 0.5000 0.5000
5 O 0.0000 0.0000 0.0000



LiAgBr2O: relaxed, PBE.

Output
- magnetization (μB/f.u.) = 0.0
- total energy (eV/atom) = -2.8012
- N(E_F) (states/eV/atom) = 0.32
- uncorrected formation energy (eV/f.u.) = -0.94

Cell: 5.1527 5.1527 4.1953 Å, 90.00 90.00 90.00°
Sites, in units of the cell vectors:
1 Li 0.0000 0.0000 0.0000
2 Ag 0.5000 0.5000 0.0000
3 Br 0.0000 0.5000 0.5000
4 Br 0.5000 0.0000 0.5000
5 O 0.5000 0.5000 0.5000



LiAgOsBr6: relaxed, PBE.

Output
- magnetization (μB/f.u.) = 2.0
- total energy (eV/atom) = -3.3363
- N(E_F) (states/eV/atom) = 0.52
- uncorrected formation energy (eV/f.u.) = -4.00

Cell: 6.7117 6.7117 12.2790 Å, 90.00 90.00 120.00°
Sites, in units of the cell vectors:
1 Li 0.3333 0.6667 0.2500
2 Li 0.6667 0.3333 0.7500
3 Ag 0.0000 0.0000 0.0000
4 Ag 0.0000 0.0000 0.5000
5 Os 0.3333 0.6667 0.7500
6 Os 0.6667 0.3333 0.2500
7 Br 0.0211 0.3685 0.6321
8 Br 0.0211 0.6526 0.8679
9 Br 0.3474 0.3685 0.8679
10 Br 0.3474 0.9789 0.6321
11 Br 0.3685 0.0211 0.1321
12 Br 0.3685 0.3474 0.3679
13 Br 0.6315 0.6526 0.6321
14 Br 0.6315 0.9789 0.8679
15 Br 0.6526 0.0211 0.3679
16 Br 0.6526 0.6315 0.1321
17 Br 0.9789 0.3474 0.1321
18 Br 0.9789 0.6315 0.3679



Li2PaAgBr8: relaxed, PBE.

Output
- magnetization (μB/f.u.) = 0.0
- total energy (eV/atom) = -3.7242
- uncorrected formation energy (eV/f.u.) = -15.13

Cell: 6.9715 7.6544 9.5214 Å, 69.79 80.80 66.59°
Sites, in units of the cell vectors:
1 Li 0.0546 0.4648 0.1744
2 Li 0.9454 0.5352 0.8256
3 Pa 0.5000 0.5000 0.5000
4 Ag 0.5000 0.0000 0.0000
5 Br 0.0887 0.6986 0.5626
6 Br 0.1207 0.2176 0.0330
7 Br 0.3949 0.5040 0.2317
8 Br 0.4531 0.1481 0.6403
9 Br 0.5469 0.8519 0.3597
10 Br 0.6051 0.4960 0.7683
11 Br 0.8793 0.7824 0.9670
12 Br 0.9113 0.3014 0.4374



LiPaAg2Br8: relaxed, PBE.

Output
- magnetization (μB/f.u.) = 0.0
- total energy (eV/atom) = -3.5929
- uncorrected formation energy (eV/f.u.) = -12.62

Cell: 6.9929 7.3804 8.7675 Å, 71.24 87.47 73.70°
Sites, in units of the cell vectors:
1 Li 0.0000 0.0000 0.0000
2 Pa 0.0000 0.0000 0.5000
3 Ag 0.4470 0.3720 0.1574
4 Ag 0.5530 0.6280 0.8426
5 Br 0.0945 0.2477 0.2146
6 Br 0.1069 0.2069 0.6699
7 Br 0.3571 0.7754 0.0654
8 Br 0.3800 0.7550 0.5370
9 Br 0.6200 0.2450 0.4630
10 Br 0.6429 0.2246 0.9346
11 Br 0.8931 0.7931 0.3301
12 Br 0.9055 0.7523 0.7854



Li2AgPbBr6: relaxed, PBE.

Output
- magnetization (μB/f.u.) = 0.7
- total energy (eV/atom) = -2.9272
- N(E_F) (states/eV/atom) = 0.70
- uncorrected formation energy (eV/f.u.) = -8.85

Cell: 9.5961 9.5961 7.2286 Å, 104.57 104.57 84.41°
Sites, in units of the cell vectors:
1 Li 0.0111 0.1661 0.1769
2 Li 0.1661 0.0111 0.6769
3 Li 0.8339 0.9889 0.3231
4 Li 0.9889 0.8339 0.8231
5 Ag 0.2535 0.7465 0.2500
6 Ag 0.7465 0.2535 0.7500
7 Pb 0.4028 0.5972 0.7500
8 Pb 0.5972 0.4028 0.2500
9 Br 0.9997 0.2033 0.5450
10 Br 0.0003 0.7967 0.4550
11 Br 0.1185 0.6084 0.9072
12 Br 0.2033 0.9997 0.0450
13 Br 0.2988 0.4523 0.3210
14 Br 0.3916 0.8815 0.5928
15 Br 0.4523 0.2988 0.8210
16 Br 0.5477 0.7012 0.1790
17 Br 0.6084 0.1185 0.4072
18 Br 0.7012 0.5477 0.6790
19 Br 0.7967 0.0003 0.9550
20 Br 0.8815 0.3916 0.0928



LiAgPb2Br6: relaxed, PBE.

Output
- magnetization (μB/f.u.) = 0.0
- total energy (eV/atom) = -3.1236
- N(E_F) (states/eV/atom) = 0.00
- uncorrected formation energy (eV/f.u.) = -9.02

Cell: 7.4414 7.4441 7.8806 Å, 90.04 118.10 119.86°
Sites, in units of the cell vectors:
1 Li 0.0000 0.0000 0.0000
2 Ag 0.0049 0.5026 0.5050
3 Pb 0.6068 0.8040 0.4099
4 Pb 0.6124 0.3063 0.9187
5 Br 0.0936 0.2200 0.7193
6 Br 0.0957 0.3608 0.2134
7 Br 0.4752 0.1164 0.2115
8 Br 0.5018 0.8749 0.7217
9 Br 0.8464 0.6253 0.7193
10 Br 0.8532 0.7360 0.2129



LiAgPbBr4: relaxed, PBE.

Output
- magnetization (μB/f.u.) = 0.0
- total energy (eV/atom) = -3.0779
- N(E_F) (states/eV/atom) = 0.00
- uncorrected formation energy (eV/f.u.) = -6.38

Cell: 8.4931 8.4931 8.4931 Å, 121.18 118.94 89.91°
Sites, in units of the cell vectors:
1 Li 0.5000 0.0000 0.0000
2 Li 0.5000 0.5000 0.5000
3 Ag 0.1018 0.3518 0.7500
4 Ag 0.8982 0.6482 0.2500
5 Pb 0.0000 0.0000 0.0000
6 Pb 0.5000 0.0000 0.5000
7 Br 0.2640 0.2713 0.5073
8 Br 0.2640 0.7567 0.9927
9 Br 0.2773 0.7483 0.5289
10 Br 0.2806 0.2517 0.0289
11 Br 0.7194 0.7483 0.9711
12 Br 0.7227 0.2517 0.4711
13 Br 0.7360 0.2433 0.0073
14 Br 0.7360 0.7287 0.4927



LiAgPdBr6: relaxed, PBE.

Output
- magnetization (μB/f.u.) = 0.0
- total energy (eV/atom) = -2.7312
- uncorrected formation energy (eV/f.u.) = -4.59

Cell: 6.6704 6.6704 12.3003 Å, 90.00 90.00 120.00°
Sites, in units of the cell vectors:
1 Li 0.3333 0.6667 0.2500
2 Li 0.6667 0.3333 0.7500
3 Ag 0.0000 0.0000 0.0000
4 Ag 0.0000 0.0000 0.5000
5 Pd 0.3333 0.6667 0.7500
6 Pd 0.6667 0.3333 0.2500
7 Br 0.0199 0.3630 0.6306
8 Br 0.0199 0.6569 0.8694
9 Br 0.3431 0.3630 0.8694
10 Br 0.3431 0.9801 0.6306
11 Br 0.3630 0.0199 0.1306
12 Br 0.3630 0.3431 0.3694
13 Br 0.6370 0.6569 0.6306
14 Br 0.6370 0.9801 0.8694
15 Br 0.6569 0.0199 0.3694
16 Br 0.6569 0.6370 0.1306
17 Br 0.9801 0.3431 0.1306
18 Br 0.9801 0.6370 0.3694



LiAgPdBr2: relaxed, PBE.

Output
- magnetization (μB/f.u.) = 0.0
- total energy (eV/atom) = -2.6040
- N(E_F) (states/eV/atom) = 0.64
- uncorrected formation energy (eV/f.u.) = 0.28

Cell: 4.7954 4.7954 4.8256 Å, 90.00 90.00 90.00°
Sites, in units of the cell vectors:
1 Li 0.0000 0.0000 0.0000
2 Ag 0.0000 0.0000 0.5000
3 Pd 0.5000 0.5000 0.5000
4 Br 0.0000 0.5000 0.0000
5 Br 0.5000 0.0000 0.0000



LiPmAg2Br6: relaxed, PBE.

Output
- magnetization (μB/f.u.) = 0.0
- total energy (eV/atom) = -3.3972
- N(E_F) (states/eV/atom) = 0.00
- uncorrected formation energy (eV/f.u.) = -11.57

Cell: 7.2208 7.2255 7.7892 Å, 62.45 62.54 60.10°
Sites, in units of the cell vectors:
1 Li 0.0000 0.0000 0.0000
2 Pm 0.5155 0.5154 0.4543
3 Ag 0.2058 0.2034 0.3872
4 Ag 0.7682 0.7700 0.6921
5 Br 0.1216 0.7728 0.7164
6 Br 0.2582 0.6170 0.2111
7 Br 0.3879 0.1220 0.7167
8 Br 0.6184 0.9123 0.2111
9 Br 0.7713 0.3887 0.7188
10 Br 0.9131 0.2574 0.2128



Li2PrAgBr6: relaxed, PBE.

Output
- magnetization (μB/f.u.) = 0.0
- total energy (eV/atom) = -3.5481
- N(E_F) (states/eV/atom) = 0.00
- uncorrected formation energy (eV/f.u.) = -13.99

Cell: 7.6856 7.6856 7.6856 Å, 55.30 55.30 55.30°
Sites, in units of the cell vectors:
1 Li 0.0000 0.0000 0.0000
2 Li 0.4946 0.4946 0.4946
3 Pr 0.8046 0.8046 0.8046
4 Ag 0.2907 0.2907 0.2907
5 Br 0.1051 0.3813 0.7232
6 Br 0.2301 0.8772 0.6072
7 Br 0.3813 0.7232 0.1051
8 Br 0.6072 0.2301 0.8772
9 Br 0.7232 0.1051 0.3813
10 Br 0.8772 0.6072 0.2301